This record from the Alexandria database describes Mn3NiO after structural relaxation. The functional is PBE+U.

Computed properties:
SG   Pm-3m (221)
Total DFT energy (no corrections)   -4.97 eV per atom

abc: 4.5654 4.5654 4.5654
angles: 90.00 90.00 90.00
With the nearest neighbours (Å) after each atom.
Element x y z (fractional)
Ni 0.0000 0.0000 0.0000  6 Mn 2.28
Mn 0.0000 0.5000 0.0000  2 Ni 2.28
Mn 0.0000 0.0000 0.5000  2 Ni 2.28
Mn 0.5000 0.0000 0.0000  2 Ni 2.28
O 0.5000 0.5000 0.5000  12 Mn 3.23